1.
VASP calculation (GGA-PBEsol) on an optimized crystal structure of CaAgAs2.

Geometry as POSCAR:
```
CaAgAs2
1.0
-0.0388 -3.6791 1.5713
3.7439 0.8979 2.1948
-2.3710 1.4917 3.4342
Ag Ca As
1 1 2
direct
0.5000 0.0000 0.0000
0.5000 0.5000 0.5000
0.0000 0.5000 0.0000
0.0000 0.0000 0.5000
```

Results
The value obtained for the formation energy is -399 meV/atom. The value obtained for the density of states at the Fermi level is 1.9 states/eV per cell.



2.
VASP calculation (GGA-PBEsol) on an optimized crystal structure of SrSiPt2.

Geometry as POSCAR:
```
SrSiPt2
1.0
-2.2532 -1.6553 3.0467
4.1480 -0.1438 0.1833
-1.9384 5.6214 1.6206
Si Sr Pt
1 1 2
direct
0.5717 0.1435 0.7176
0.7593 0.5186 0.2738
0.2150 0.4300 0.6455
0.9539 0.9079 0.8631
```

Results
Its uncorrected formation energy is -0.751 eV per atom. The value obtained for the density of states at the Fermi level is 1.6 states/eV per cell.



3.
VASP calculation (GGA-PBEsol) on an optimized crystal structure of AgP2Br.

Geometry as POSCAR:
```
AgP2Br
1.0
3.5421 0.0000 0.0000
0.0000 3.5421 0.0000
-1.7711 -1.7711 7.0852
Ag P Br
1 2 1
direct
0.5000 0.5000 0.0000
0.2500 0.7500 0.5000
0.7500 0.2500 0.5000
0.0000 0.0000 0.0000
```

Results
Its uncorrected formation energy is 0.435 eV per atom. The energy above the most stable polymorph in this dataset comes out at 27.3 kJ/mol of atoms. The value obtained for the density of states at the Fermi level is 1.8 states/eV per cell.



4.
VASP calculation (GGA-PBEsol) on an optimized crystal structure of MoHOF2.

Geometry as POSCAR:
```
MoHOF2
1.0
3.7414 0.0000 0.0000
0.0000 4.0265 0.0000
0.0000 0.0000 4.0265
H Mo O F
1 1 1 2
direct
0.5000 0.5000 0.5000
0.0000 0.0000 0.0000
0.5000 0.0000 0.0000
0.0000 0.0000 0.5000
0.0000 0.5000 0.0000
```

Results
The value obtained for the total energy is -0.22380 Ha/atom. The value obtained for the density of states at the Fermi level is 1.7 states/eV per cell.



5.
VASP calculation (GGA-PBEsol) on an optimized crystal structure of SiTc3Cl.

Geometry as POSCAR:
```
SiTc3Cl
1.0
-0.1804 -4.2209 0.5319
1.2490 -0.5615 -4.0319
4.0668 -0.0148 1.2619
Tc Cl Si
3 1 1
direct
0.0000 0.0000 0.5000
0.5000 0.0000 0.0000
0.0000 0.5000 0.0000
0.0000 0.0000 0.0000
0.5000 0.5000 0.5000
```

Results
Its uncorrected formation energy is 1.174 eV per atom. The value obtained for the density of states at the Fermi level is 5.9 states/eV per cell.



6.
VASP calculation (GGA-PBEsol) on an optimized crystal structure of Cs2RbAs2.

Geometry as POSCAR:
```
Cs2RbAs2
1.0
5.5631 0.0000 0.0000
0.0000 8.5585 0.0000
0.0000 0.0000 8.5585
Rb As Cs
2 4 4
direct
0.0000 0.5000 0.5000
0.0000 0.0000 0.0000
0.0000 0.9006 0.5994
0.0000 0.4006 0.9006
0.0000 0.5994 0.0994
0.0000 0.0994 0.4006
0.5000 0.8330 0.3330
0.5000 0.1670 0.6670
0.5000 0.3330 0.1670
0.5000 0.6670 0.8330
```

Results
The value obtained for the formation energy is -298 meV/atom. The value obtained for the density of states at the Fermi level is 11.1 states/eV per cell.



7.
VASP calculation (GGA-PBEsol) on an optimized crystal structure of SbOs3.

Geometry as POSCAR:
```
SbOs3
1.0
2.8527 0.0000 0.0000
0.0000 3.8089 0.0000
0.0000 0.0000 5.7157
Sb Os
1 3
direct
0.0000 0.0000 0.0000
0.0000 0.0000 0.5000
0.5000 0.5000 0.7294
0.5000 0.5000 0.2706
```

Results
Its uncorrected formation energy is 0.616 eV per atom. The value obtained for the density of states at the Fermi level is 3.5 states/eV per cell.



8.
VASP calculation (GGA-PBEsol) on an optimized crystal structure of TiNCl.

Geometry as POSCAR:
```
TiNCl
1.0
3.2358 0.0000 0.0000
0.0000 3.9307 0.0000
0.0000 0.0000 8.1762
Ti N Cl
2 2 2
direct
0.0000 0.5000 0.9068
0.5000 0.0000 0.0932
0.0000 0.0000 0.9524
0.5000 0.5000 0.0476
0.5000 0.5000 0.6840
0.0000 0.0000 0.3160
```

Results
Its uncorrected formation energy is -1.629 eV per atom. The value obtained for the density of states at the Fermi level is 0.0 states/eV per cell.



9.
VASP calculation (GGA-PBEsol) on an optimized crystal structure of SrTl2Pb.

Geometry as POSCAR:
```
SrTl2Pb
1.0
3.9120 0.0000 0.0000
0.0000 5.5953 0.0000
-1.9560 -2.7976 5.5365
Tl Pb Sr
2 1 1
direct
0.2390 0.2390 0.4780
0.7610 0.7610 0.5220
0.5000 0.0000 0.0000
0.0000 0.5000 0.0000
```

Results
The value obtained for the formation energy is -269 meV/atom. The value obtained for the density of states at the Fermi level is 2.0 states/eV per cell.



10.
VASP calculation (GGA-PBEsol) on an optimized crystal structure of Pt2RhW.

Geometry as POSCAR:
```
Pt2RhW
1.0
-0.9373 2.4839 2.7752
-1.8654 -2.7901 1.8672
4.7211 -0.7658 -0.3775
W Rh Pt
1 1 2
direct
0.0000 0.0000 0.0000
0.5000 0.5000 0.0000
0.7500 0.2500 0.5000
0.2500 0.7500 0.5000
```

Results
The energy above the most stable polymorph in this dataset comes out at 2.2 kJ/mol of atoms. The value obtained for the formation energy is -264 meV/atom. The value obtained for the density of states at the Fermi level is 3.8 states/eV per cell.



11.
VASP calculation (GGA-PBEsol) on an optimized crystal structure of LiEr2Al.

Geometry as POSCAR:
```
LiEr2Al
1.0
5.0431 0.0000 0.0000
2.5215 4.3674 0.0000
2.5215 1.4558 4.1177
Er Li Al
2 1 1
direct
0.2500 0.2500 0.2500
0.7500 0.7500 0.7500
0.0000 0.0000 0.0000
0.5000 0.5000 0.5000
```

Results
The value obtained for the formation energy is -193 meV/atom. The value obtained for the density of states at the Fermi level is 3.6 states/eV per cell.



12.
VASP calculation (GGA-PBEsol) on an optimized crystal structure of LaY2Mg.

Geometry as POSCAR:
```
LaY2Mg
1.0
3.5352 0.0000 0.0000
1.7676 3.0616 0.0000
1.7676 1.0205 11.0962
La Y Mg
1 2 1
direct
0.5000 0.5000 0.5000
0.7456 0.7456 0.7631
0.2544 0.2544 0.2369
0.0000 0.0000 0.0000
```

Results
The value obtained for the formation energy is 8 meV/atom. The value obtained for the density of states at the Fermi level is 4.1 states/eV per cell.



13.
VASP calculation (GGA-PBEsol) on an optimized crystal structure of TiH2SO6.

Geometry as POSCAR:
```
TiH2SO6
1.0
-3.0741 0.1781 4.0444
6.9155 -0.1655 5.2637
0.3591 9.8676 -0.1616
H O Ti S
8 24 4 4
direct
0.4050 0.5684 0.9771
0.9186 0.0755 0.5399
0.0950 0.4316 0.4771
0.5814 0.9245 0.0399
0.0814 0.5755 0.9601
0.9050 0.9316 0.0229
0.4186 0.4245 0.4601
0.5950 0.0684 0.5229
0.9316 0.3458 0.7665
0.7861 0.3918 0.5352
0.2551 0.4781 0.4335
0.2449 0.5219 0.9335
0.4316 0.1542 0.2335
0.5320 0.8679 0.7869
0.4541 0.7677 0.5216
0.2502 0.0910 0.7912
0.2139 0.8918 0.9648
0.7502 0.4090 0.2088
0.9541 0.7323 0.4784
0.7498 0.5910 0.7088
0.0684 0.8458 0.7335
0.7551 0.0219 0.5665
0.5684 0.6542 0.2665
0.0320 0.6321 0.2131
0.7449 0.9781 0.0665
0.4680 0.3679 0.7131
0.2861 0.1082 0.4648
0.0459 0.2323 0.0216
0.7139 0.6082 0.0352
0.9680 0.1321 0.2869
0.2498 0.9090 0.2912
0.5459 0.2677 0.9784
0.2581 0.2934 0.8809
0.2419 0.7066 0.3809
0.7581 0.2066 0.1191
0.7419 0.7934 0.6191
0.7365 0.4219 0.6793
0.7635 0.5781 0.1793
0.2365 0.0781 0.3207
0.2635 0.9219 0.8207
```

Results
The value obtained for the total energy is -0.25212 Ha/atom. The value obtained for the density of states at the Fermi level is 0.0 states/eV per cell.



14.
VASP calculation (GGA-PBEsol) on an optimized crystal structure of PrSe2.

Geometry as POSCAR:
```
PrSe2
1.0
4.1488 0.0000 0.0000
0.0000 8.3309 0.0114
0.0000 -0.0182 8.4898
Pr Se
4 8
direct
0.7730 0.1262 0.2743
0.2270 0.8738 0.7257
0.2730 0.3738 0.7257
0.7270 0.6262 0.2743
0.6912 0.8804 0.9989
0.2454 0.8750 0.3675
0.3088 0.1196 0.0011
0.7454 0.6250 0.6325
0.8088 0.3804 0.9989
0.7546 0.1250 0.6325
0.2546 0.3750 0.3675
0.1912 0.6196 0.0011
```

Results
Its uncorrected formation energy is -1.677 eV per atom. The value obtained for the density of states at the Fermi level is 1.1 states/eV per cell.



15.
VASP calculation (GGA-PBEsol) on an optimized crystal structure of MnZn2Pb.

Geometry as POSCAR:
```
MnZn2Pb
1.0
3.1588 0.0000 0.0000
0.0000 3.1618 0.0000
0.0000 0.0000 7.0465
Mn Zn Pb
1 2 1
direct
0.0000 0.0000 0.4460
0.5000 0.5000 0.2583
0.0000 0.0000 0.0596
0.5000 0.5000 0.7361
```

Results
The value obtained for the formation energy is 303 meV/atom. The value obtained for the density of states at the Fermi level is 2.0 states/eV per cell.



16.
VASP calculation (GGA-PBEsol) on an optimized crystal structure of Tl3NiSe.

Geometry as POSCAR:
```
Tl3NiSe
1.0
-1.0217 4.8867 0.2816
-0.2412 -0.3376 4.9830
4.8888 1.0045 0.3047
Tl Ni Se
3 1 1
direct
0.5000 0.0000 0.0000
0.0000 0.5000 0.0000
0.0000 0.0000 0.5000
0.0000 0.0000 0.0000
0.5000 0.5000 0.5000
```

Results
Its uncorrected formation energy is -0.014 eV per atom. The value obtained for the density of states at the Fermi level is 2.0 states/eV per cell.



17.
VASP calculation (GGA-PBEsol) on an optimized crystal structure of ScCu4Ru.

Geometry as POSCAR:
```
ScCu4Ru
1.0
-4.2388 -1.8778 -1.1944
-0.4568 -4.7364 -0.5270
-2.4844 -2.5373 3.2110
Cu Sc Ru
4 1 1
direct
0.3755 0.3755 0.8734
0.8734 0.3755 0.3755
0.3755 0.8734 0.3755
0.3755 0.3755 0.3755
0.0000 0.0000 0.0000
0.7500 0.7500 0.7500
```

Results
The value obtained for the formation energy is -89 meV/atom. The value obtained for the density of states at the Fermi level is 4.0 states/eV per cell.



18.
VASP calculation (GGA-PBEsol) on an optimized crystal structure of AgHgRh2.

Geometry as POSCAR:
```
AgHgRh2
1.0
2.8531 0.0000 0.0000
0.0000 4.6954 0.0000
0.0000 0.0000 4.7072
Hg Rh Ag
1 2 1
direct
0.0000 0.5000 0.5000
0.0000 0.0000 0.0000
0.5000 0.0000 0.5000
0.5000 0.5000 0.0000
```

Results
The value obtained for the formation energy is 279 meV/atom. The value obtained for the density of states at the Fermi level is 4.7 states/eV per cell.



19.
VASP calculation (GGA-PBEsol) on an optimized crystal structure of Fe2HgMo.

Geometry as POSCAR:
```
Fe2HgMo
1.0
-0.6099 3.2126 2.1543
-1.6796 -3.8442 1.6983
2.0400 -1.5858 2.9424
Mo Fe Hg
1 2 1
direct
0.5000 0.0000 0.5000
0.2500 0.5000 0.2500
0.7500 0.5000 0.7500
0.0000 0.0000 0.0000
```

Results
The value obtained for the formation energy is 436 meV/atom. The value obtained for the density of states at the Fermi level is 5.1 states/eV per cell.



20.
VASP calculation (GGA-PBEsol) on an optimized crystal structure of TaSnSeN2.

Geometry as POSCAR:
```
TaSnSeN2
1.0
4.0116 0.0000 0.0000
0.0000 4.0116 0.0000
0.0000 0.0000 5.1460
N Se Ta Sn
2 1 1 1
direct
0.0000 0.5000 0.0000
0.5000 0.0000 0.0000
0.0000 0.0000 0.5000
0.5000 0.5000 0.5000
0.0000 0.0000 0.0000
```

Results
Its uncorrected formation energy is 1.438 eV per atom. The energy above the most stable polymorph in this dataset comes out at 143.6 kJ/mol of atoms. The value obtained for the density of states at the Fermi level is 4.3 states/eV per cell.



21.
VASP calculation (GGA-PBEsol) on an optimized crystal structure of GaTeN2F.

Geometry as POSCAR:
```
GaTeN2F
1.0
3.7210 0.0000 0.0000
0.0000 3.9981 0.0000
0.0000 0.0000 3.9981
N F Ga Te
2 1 1 1
direct
0.0000 0.5000 0.0000
0.0000 0.0000 0.5000
0.5000 0.0000 0.0000
0.0000 0.0000 0.0000
0.5000 0.5000 0.5000
```

Results
Its uncorrected formation energy is 0.184 eV per atom. The value obtained for the density of states at the Fermi level is 2.0 states/eV per cell.



22.
VASP calculation (GGA-PBEsol) on an optimized crystal structure of Li2Cr2O7.

Geometry as POSCAR:
```
Li2Cr2O7
1.0
8.2946 0.0000 0.5168
0.0000 5.6015 0.0000
-2.5028 0.0000 12.5770
O Li Cr
28 8 8
direct
0.3474 0.0319 0.1077
0.1551 0.7488 0.6506
0.0494 0.1203 0.7588
0.3572 0.8271 0.3183
0.2264 0.8225 0.8860
0.3969 0.7234 0.5280
0.5494 0.3797 0.2588
0.1031 0.2234 0.9720
0.6353 0.5059 0.9348
0.8647 0.0059 0.5652
0.8572 0.6729 0.8183
0.7736 0.1775 0.1140
0.3449 0.2488 0.8494
0.8969 0.7766 0.0280
0.1428 0.3271 0.1817
0.9506 0.8797 0.2412
0.3647 0.4941 0.0652
0.7264 0.6775 0.3860
0.2736 0.3225 0.6140
0.6031 0.2766 0.4720
0.6551 0.7512 0.1506
0.8449 0.2512 0.3494
0.1353 0.9941 0.4348
0.4506 0.6203 0.7412
0.8474 0.4681 0.6077
0.6428 0.1729 0.6817
0.6526 0.9681 0.8923
0.1526 0.5319 0.3923
0.1036 0.0891 0.5973
0.0730 0.2409 0.3168
0.8964 0.9109 0.4027
0.6036 0.4109 0.0973
0.3964 0.5891 0.9027
0.9270 0.7591 0.6832
0.5730 0.2591 0.8168
0.4270 0.7409 0.1832
0.1816 0.0983 0.8628
0.6816 0.4017 0.3628
0.8184 0.9017 0.1372
0.2578 0.7709 0.4143
0.7422 0.2291 0.5857
0.7578 0.7291 0.9143
0.2422 0.2709 0.0857
0.3184 0.5983 0.6372
```

Results
Its uncorrected formation energy is -1.853 eV per atom. The energy above the most stable polymorph in this dataset comes out at 0.8 kJ/mol of atoms. The value obtained for the density of states at the Fermi level is 0.0 states/eV per cell.



23.
VASP calculation (GGA-PBEsol) on an optimized crystal structure of KLa2HfTa.

Geometry as POSCAR:
```
KLa2HfTa
1.0
5.5886 0.0000 0.0000
0.0000 5.6024 0.0000
0.0000 0.0000 5.6024
La Ta K Hf
2 1 1 1
direct
0.0000 0.0000 0.5000
0.0000 0.5000 0.0000
0.5000 0.5000 0.5000
0.5000 0.0000 0.0000
0.0000 0.0000 0.0000
```

Results
The value obtained for the formation energy is 1852 meV/atom. The value obtained for the density of states at the Fermi level is 8.2 states/eV per cell.



24.
VASP calculation (GGA-PBEsol) on an optimized crystal structure of PRu3.

Geometry as POSCAR:
```
PRu3
1.0
-2.6512 0.3565 0.5476
-0.7120 -3.3088 -1.2930
0.7151 -2.0208 4.7776
Ru P
3 1
direct
0.5000 0.5000 0.2464
0.0000 0.0000 0.5000
0.5000 0.5000 0.7536
0.0000 0.0000 0.0000
```

Results
The energy above the most stable polymorph in this dataset comes out at 29.8 kJ/mol of atoms. The value obtained for the formation energy is 106 meV/atom. The value obtained for the density of states at the Fermi level is 3.4 states/eV per cell.